(1)
The following is a DFT calculation (PBE-GGA) of PuPb2I6 after structural relaxation.

```
PuPb2I6
1.0
4.618 0.000 0.000
-2.310 8.039 -2.573
0.001 0.589 11.028
Pb I Pu
2 6 1
direct
0.335 0.670 0.169
0.665 0.330 0.831
0.977 0.953 0.202
0.635 0.270 0.524
0.694 0.388 0.135
0.023 0.047 0.798
0.365 0.730 0.476
0.306 0.612 0.865
0.000 0.000 0.500
```

Properties
Its final energy is -4.224 eV per atom. As for the density of states at the Fermi level: 17.451 states/eV/cell. Its space group is C2/m (12).

=====

(2)
The following is a DFT calculation (PBE-GGA) of PAu2Br after structural relaxation.

```
PAu2Br
1.0
5.394 0.000 0.000
0.000 5.394 0.000
0.000 0.000 2.763
Au P Br
2 1 1
direct
0.500 0.500 0.000
0.000 0.000 0.000
0.000 0.500 0.500
0.500 0.000 0.500
```

Properties
Its final energy is -2.760 eV per atom. As for the density of states at the Fermi level: 3.634 states/eV/cell. Its space group is P4/mmm (123). Its energy above the most stable polymorph in this dataset is 0.564 eV per atom.

=====

(3)
The following is a DFT calculation (PBE-GGA) of Tl3Ge2Au8 after structural relaxation.

```
Tl3Ge2Au8
1.0
0.107 4.699 4.792
6.080 2.192 2.190
5.097 8.927 -1.936
Ge Au Tl
2 8 3
direct
0.462 0.359 0.705
0.538 0.641 0.295
0.778 0.645 0.424
0.350 0.829 0.652
0.650 0.171 0.348
0.222 0.355 0.576
0.753 0.628 0.024
0.247 0.372 0.976
0.875 0.086 0.719
0.125 0.914 0.281
0.191 0.307 0.298
0.000 0.000 0.000
0.809 0.693 0.702
```

Properties
Its final energy is -3.245 eV per atom. As for the density of states at the Fermi level: 4.552 states/eV/cell. Its energy of formation from the pure elements is 29 meV per atom. Its space group is P-1 (2).

=====

(4)
The following is a DFT calculation (PBE-GGA) of Pm3Tm after structural relaxation.

```
Pm3Tm
1.0
3.662 0.000 0.000
0.000 5.807 0.000
0.000 0.000 6.324
Pm Tm
3 1
direct
0.500 0.000 0.499
0.500 0.500 0.833
0.000 0.500 0.333
0.000 0.000 0.001
```

Properties
Its final energy is -4.650 eV per atom. As for the density of states at the Fermi level: 7.275 states/eV/cell. Its energy of formation from the pure elements is 31 meV per atom. Its space group is Pmm2 (25). Its energy above the most stable polymorph in this dataset is 0.015 eV per atom.

=====

(5)
The following is a DFT calculation (PBE-GGA) of TlZnMo2 after structural relaxation.

```
TlZnMo2
1.0
-0.767 1.234 -5.170
-5.063 0.610 -1.685
3.618 1.768 3.554
Tl Zn Mo
1 1 2
direct
0.250 0.750 0.500
0.750 0.250 0.500
0.993 0.993 0.000
0.507 0.507 0.000
```

Properties
Its final energy is -5.814 eV per atom. As for the density of states at the Fermi level: 2.562 states/eV/cell. Its energy of formation from the pure elements is 512 meV per atom. Its space group is Immm (71). Its energy above the most stable polymorph in this dataset is 0.176 eV per atom.

=====

(6)
The following is a DFT calculation (PBE-GGA) of RbGe3As after structural relaxation.

```
RbGe3As
1.0
-2.574 -2.825 3.636
3.678 -3.768 -0.324
2.770 2.377 3.808
Ge Rb As
3 1 1
direct
0.500 0.000 0.000
0.000 0.000 0.500
0.000 0.500 0.000
0.500 0.500 0.500
0.000 0.000 0.000
```

Properties
Its final energy is -3.419 eV per atom. As for the density of states at the Fermi level: 3.651 states/eV/cell. Its energy of formation from the pure elements is 474 meV per atom. Its space group is Pm-3m (221). Its energy above the most stable polymorph in this dataset is 0.000 eV per atom.

=====

(7)
The following is a DFT calculation (PBE-GGA) of Sm5ThP6 after structural relaxation.

```
Sm5ThP6
1.0
7.002 -0.106 -1.321
-3.781 5.894 -1.321
0.137 0.246 7.120
Sm P Th
5 6 1
direct
0.833 0.167 0.500
0.666 0.334 0.000
0.500 0.500 0.500
0.334 0.666 0.000
0.167 0.833 0.500
0.917 0.585 0.750
0.083 0.415 0.250
0.415 0.083 0.250
0.751 0.751 0.249
0.249 0.249 0.751
0.585 0.917 0.750
0.000 0.000 0.000
```

Properties
Its final energy is -6.882 eV per atom. As for the density of states at the Fermi level: 3.251 states/eV/cell. Its energy of formation from the pure elements is -1592 meV per atom. Its space group is C2/m (12).

=====

(8)
The following is a DFT calculation (PBE-GGA) of Y2AlSn4 after structural relaxation.

```
Y2AlSn4
1.0
-2.817 2.938 1.654
1.495 -0.844 4.044
6.616 6.907 -1.004
Y Sn Al
2 4 1
direct
0.500 0.000 0.758
0.000 0.500 0.242
0.500 0.500 0.500
0.000 0.500 0.828
0.000 0.000 0.500
0.500 0.000 0.172
0.500 0.500 0.000
```

Properties
Its final energy is -5.074 eV per atom. As for the density of states at the Fermi level: 5.293 states/eV/cell. Its energy of formation from the pure elements is -405 meV per atom. Its space group is P-4m2 (115).